(1)
Sm4Er3Cd: relaxed, PBE-GGA.

For the formation enthalpy at 0 K, the calculation gives -0.058 eV/atom.

a = 3.5982 Å, b = 3.5982 Å, c = 19.2148 Å
α = 90.00°, β = 90.00°, γ = 90.00°
With the nearest neighbours (Å) after each atom.
Positions (direct):
Er1 0.5000 0.5000 0.5000  8 Sm 3.56, 4 Er 3.60
Er2 0.5000 0.5000 0.7592  8 Sm 3.56-3.57, 4 Er 3.60
Er3 0.5000 0.5000 0.2408  8 Sm 3.56-3.57, 4 Er 3.60
Sm1 0.0000 0.0000 0.1107  4 Cd 3.32, 4 Er 3.57, 4 Sm 3.60
Sm2 0.0000 0.0000 0.3707  8 Er 3.56, 4 Sm 3.60
Sm3 0.0000 0.0000 0.6293  8 Er 3.56, 4 Sm 3.60
Sm4 0.0000 0.0000 0.8893  4 Cd 3.32, 4 Er 3.57, 4 Sm 3.60
Cd1 0.5000 0.5000 0.0000  8 Sm 3.32, 4 Cd 3.60


(2)
Ba2BiPd6: relaxed, PBE-GGA.

For the formation enthalpy at 0 K, the calculation gives -0.431 eV/atom.

a = 6.0867 Å, b = 6.1591 Å, c = 6.4956 Å
α = 76.82°, β = 90.00°, γ = 119.61°
With the nearest neighbours (Å) after each atom.
Positions (direct):
Pd1 0.4157 0.2968 0.6777  4 Pd 2.73-2.85, 1 Bi 2.79
Pd2 0.1183 0.2367 0.3379  1 Bi 2.81, 5 Pd 2.83-2.85
Pd3 0.8817 0.7633 0.6621  1 Bi 2.81, 5 Pd 2.83-2.85
Pd4 0.5843 0.7032 0.3223  4 Pd 2.73-2.85, 1 Bi 2.79
Pd5 0.1189 0.7032 0.3223  4 Pd 2.73-2.85, 1 Bi 2.79
Pd6 0.8811 0.2968 0.6777  4 Pd 2.73-2.85, 1 Bi 2.79
Ba1 0.3666 0.7332 0.8147  8 Pd 3.16-3.54
Ba2 0.6334 0.2668 0.1853  8 Pd 3.16-3.54
Bi1 0.0000 0.0000 0.0000  6 Pd 2.79-2.81


(3)
BaTlCrCl6: relaxed, PBE-GGA.

Its formation energy from raw total energies is -13.861 eV per formula unit.

a = 7.3771 Å, b = 7.3771 Å, c = 12.3877 Å
α = 90.00°, β = 90.00°, γ = 120.00°
With the nearest neighbours (Å) after each atom.
Positions (direct):
Tl1 0.0000 0.0000 0.5000  6 Cl 3.25
Tl2 0.0000 0.0000 0.0000  6 Cl 3.25
Cl1 0.5944 0.9284 0.8624  1 Cr 2.38
Cl2 0.6660 0.5944 0.1376  1 Cr 2.38
Cl3 0.6660 0.0716 0.3624  1 Cr 2.38
Cl4 0.4056 0.0716 0.1376  1 Cr 2.38
Cl5 0.5944 0.6660 0.6376  1 Cr 2.38
Cl6 0.9284 0.5944 0.3624  1 Cr 2.38
Cl7 0.9284 0.3340 0.1376  1 Cr 2.38
Cl8 0.4056 0.3340 0.3624  1 Cr 2.38
Cl9 0.0716 0.6660 0.8624  1 Cr 2.38
Cl10 0.3340 0.9284 0.6376  1 Cr 2.38
Cl11 0.0716 0.4056 0.6376  1 Cr 2.38
Cl12 0.3340 0.4056 0.8624  1 Cr 2.38
Cr1 0.6667 0.3333 0.2500  6 Cl 2.38
Cr2 0.3333 0.6667 0.7500  6 Cl 2.38
Ba1 0.3333 0.6667 0.2500  6 Cl 3.09
Ba2 0.6667 0.3333 0.7500  6 Cl 3.09